--- w ---
Below is crystalline VTe2Ru at its relaxed geometry, with properties calculated at the GGA-PBE level.

Computed properties:
Its density of states at the Fermi level is 0.663 states/eV/atom. The size of the total moment comes out at 0.569 μB per atom.

Cell: 5.951 5.951 7.480 Å, 66.56 66.56 90.00°
Each line ends with the local moment (μB).
Element x y z (fractional)
Te 0.375 0.362 0.750  -0.07
Te 0.112 0.625 0.250  -0.07
Te 0.638 0.125 0.250  -0.07
Te 0.875 0.888 0.750  -0.07
Ru 0.000 0.000 0.000  -0.06
Ru 0.750 0.250 0.500  -0.06
V 0.250 0.750 0.500  2.17
V 0.500 0.500 0.000  2.17

---

--- x ---
Below is crystalline VTe2Ru at its relaxed geometry, with properties calculated at the GGA-PBE level.

Computed properties:
Its density of states at the Fermi level is 0.819 states/eV/atom. The size of the total moment comes out at 0.050 μB per atom.

Cell: 8.972 8.972 8.972 Å, 21.19 21.19 21.19°
Each line ends with the local moment (μB).
Element x y z (fractional)
Te 0.096 0.096 0.096  -0.01
Te 0.904 0.904 0.904  -0.01
V 0.500 0.500 0.500  0.19
Ru 0.000 0.000 0.000  0.00

---

--- y ---
Below is crystalline VTe2Ru at its relaxed geometry, with properties calculated at the GGA-PBE level.

Computed properties:
Its density of states at the Fermi level is 0.664 states/eV/atom. The size of the total moment comes out at 0.000 μB per atom.

Cell: 4.677 4.677 4.677 Å, 60.00 60.00 60.00°
Element x y z (fractional)
Ru 0.500 0.500 0.500
Te 0.750 0.750 0.750
Te 0.250 0.250 0.250
V 0.000 0.000 0.000

---

--- z ---
Below is crystalline VTe2Ru at its relaxed geometry, with properties calculated at the GGA-PBE level.

Computed properties:
Its density of states at the Fermi level is 0.904 states/eV/atom. The size of the total moment comes out at 0.821 μB per atom.

Cell: 8.802 8.802 8.802 Å, 24.26 24.26 24.26°
Each line ends with the local moment (μB).
Element x y z (fractional)
Te 0.895 0.895 0.895  -0.05
Te 0.105 0.105 0.105  -0.05
V 0.000 0.000 0.000  2.80
Ru 0.500 0.500 0.500  -0.20

---

How far above the most stable structure does each one sit? In kJ/mol of atoms: w 8.4; x 15.0; y 0.0; z 22.2.